# 1
Below is a relaxed Na4Sn2IrAu crystal, with properties calculated at the PBE level.

Lattice parameters (Å, degrees): 4.845 4.845 6.891 90.00 90.00 90.00
Space group P-4m2 (No. 115)
Asymmetric unit:
Na 0.000 0.000 0.000 x1
Na 0.000 0.500 0.246 x2
Na 0.500 0.500 0.500 x1
Sn 0.000 0.500 0.721 x2
Ir 0.000 0.000 0.500 x1
Au 0.500 0.500 0.000 x1

Summary:
**VASP energy**: -3.292 eV per atom
**Total magnetic moment**: 0.0012 μB per atom

# 2
Below is a relaxed NaTcIrAu crystal, with properties calculated at the PBE level.

Lattice parameters (Å, degrees): 6.374 6.374 6.374 90.00 90.00 90.00
Space group F-43m (No. 216)
Asymmetric unit:
Na 0.000 0.000 0.000 x4
Tc 0.000 0.000 0.500 x4
Ir 0.250 0.250 0.750 x4
Au 0.250 0.250 0.250 x4

Summary:
**Distance to the lowest polymorph of the same formula**: 0.029 eV/atom
**Total magnetic moment**: 0.0025 μB per atom

# 3
Below is a relaxed NaTcIrAu crystal, with properties calculated at the PBE level.

Lattice parameters (Å, degrees): 6.339 6.339 6.339 90.00 90.00 90.00
Space group F-43m (No. 216)
Asymmetric unit:
Na 0.000 0.000 0.000 x4
Tc 0.250 0.250 0.250 x4
Ir 0.000 0.000 0.500 x4
Au 0.250 0.250 0.750 x4

Summary:
**Distance to the lowest polymorph of the same formula**: 0.000 eV/atom
**Total magnetic moment**: 0.0336 μB per atom

# 4
Below is a relaxed NaTe3IrAu crystal, with properties calculated at the PBE level.

Lattice parameters (Å, degrees): 3.930 15.449 10.735 90.00 90.00 90.00
Space group Cmcm (No. 63)
Asymmetric unit:
Na 0.000 0.228 0.250 x4
Te 0.000 0.118 0.507 x8
Te 0.000 0.453 0.750 x4
Ir 0.000 0.500 0.000 x4
Au 0.000 0.127 0.750 x4

Summary:
**VASP energy**: -4.066 eV per atom
**Total magnetic moment**: 0.0002 μB per atom

# 5
Below is a relaxed NaTe4IrAu3 crystal, with properties calculated at the PBE level.

Lattice parameters (Å, degrees): 6.620 6.620 6.620 90.00 90.00 90.00
Space group P-43m (No. 215)
Asymmetric unit:
Na 0.000 0.000 0.000 x1
Te 0.273 0.273 0.273 x4
Ir 0.500 0.500 0.500 x1
Au 0.000 0.500 0.500 x3

Summary:
**VASP energy**: -3.591 eV per atom
**Total magnetic moment**: 0.0002 μB per atom

# 6
Below is a relaxed NbIrAu2 crystal, with properties calculated at the PBE level.

Lattice parameters (Å, degrees): 6.482 6.482 6.482 90.00 90.00 90.00
Space group F-43m (No. 216)
Asymmetric unit:
Nb 0.000 0.000 0.000 x4
Ir 0.250 0.250 0.250 x4
Au 0.000 0.000 0.500 x4
Au 0.250 0.250 0.750 x4

Summary:
**Energy of formation**: 44 meV/atom
**Total magnetic moment**: 0.0014 μB per atom

# 7
Below is a relaxed NdIrAu crystal, with properties calculated at the PBE level.

Lattice parameters (Å, degrees): 6.627 6.627 6.627 90.00 90.00 90.00
Space group F-43m (No. 216)
Asymmetric unit:
Nd 0.000 0.000 0.000 x4
Ir 0.250 0.250 0.750 x4
Au 0.000 0.000 0.500 x4

Summary:
**Energy of formation**: -253 meV/atom
**Total magnetic moment**: 0.0041 μB per atom

# 8
Below is a relaxed PrNd2Si4Ir2Au2 crystal, with properties calculated at the PBE level.

Lattice parameters (Å, degrees): 4.143 4.221 25.139 90.00 90.00 90.00
Space group Immm (No. 71)
Asymmetric unit:
Pr 0.000 0.000 0.000 x2
Nd 0.000 0.500 0.149 x4
Si 0.000 0.000 0.452 x4
Si 0.000 0.500 0.301 x4
Ir 0.000 0.000 0.250 x4
Au 0.000 0.500 0.401 x4

Summary:
**VASP energy**: -6.408 eV per atom
**Total magnetic moment**: 0.0017 μB per atom

What is the formula in the seventh record?
NdIrAu

Among the records above, which one has the highest total magnetic moment?
number 3

total magnetic moment of number 8 (PrNd2Si4Ir2Au2)?
0.0017 μB per atom